[1]
The following is a GGA-PBE calculation of crystalline ZrSCl3 at its relaxed geometry, from the Alexandria database.

Values from the calculation:
Formation energy without anion corrections ... -0.6818 eV/atom
Size of the total moment ... 1.37 μB per cell

a b c (Å): 5.0444 5.0444 5.0444
angles (deg): 90.00 90.00 90.00
Closest atoms and distances in Å follow each position.
Space group Pm-3m (No. 221)
One atom of each set of equivalent atoms:
Zr  0.0000  0.0000  0.0000  6 Cl 2.52
S  0.5000  0.5000  0.5000  12 Cl 3.57
Cl  0.0000  0.0000  0.5000  2 Zr 2.52

[2]
The following is a GGA-PBE calculation of crystalline ZrS5Cl at its relaxed geometry, from the Alexandria database.

Values from the calculation:
Formation energy without anion corrections ... -0.3213 eV/atom
Size of the total moment ... 0.35 μB per cell

a b c (Å): 4.9506 5.1681 11.2407
angles (deg): 90.00 90.00 90.00
Closest atoms and distances in Å follow each position.
Space group Imm2 (No. 44)
One atom of each set of equivalent atoms:
Zr  0.0000  0.0000  0.0000  7 S 2.62-2.82, 2 Cl 2.64
S  0.0000  0.0000  0.2335  1 Zr 2.62, 4 S 2.83
S  0.0000  0.3070  0.5610  1 S 1.99
S  0.2021  0.5000  0.2857  1 S 2.00
Cl  0.0000  0.5000  0.9507  2 Zr 2.64

[3]
The following is a GGA-PBE calculation of crystalline ZrSCl2 at its relaxed geometry, from the Alexandria database.

Values from the calculation:
Formation energy without anion corrections ... -0.5219 eV/atom
Size of the total moment ... 0.00 μB per cell

a b c (Å): 6.6056 6.6056 6.6056
angles (deg): 90.00 90.00 90.00
Closest atoms and distances in Å follow each position.
Space group Fm-3m (No. 225)
One atom of each set of equivalent atoms:
Zr  0.0000  0.0000  0.0000  8 Cl 2.86
S  0.0000  0.0000  0.5000  8 Cl 2.86
Cl  0.2500  0.2500  0.2500  4 S 2.86, 4 Zr 2.86